Entry 1:
Computed, not measured: a crystal of BaMg2Al relaxed with PBEsol at the SCAN level of DFT. Values from VASP.

Summary:
Total magnetization   0.00 μB/cell
Energy of formation   0.062 eV per atom
VASP energy   -1.047 Ry/atom
Fermi-level density of states   0.624 states/eV/atom
Space-group type   P4/mmm (123)

Quantum ESPRESSO input file:
```
&SYSTEM
  ibrav = 0, nat = 4, ntyp = 3
/
ATOMIC_SPECIES
Al 26.98 Al.upf
Ba 137.33 Ba.upf
Mg 24.30 Mg.upf
CELL_PARAMETERS angstrom
-1.717 2.777 1.387
-3.066 -1.272 -1.250
-1.181 -4.429 7.407
ATOMIC_POSITIONS crystal
Al 0.500 0.500 0.000
Ba 0.500 0.500 0.500
Mg 0.000 0.000 0.814
Mg 0.000 0.000 0.186
```

***

Entry 2:
Computed, not measured: a crystal of FeCoMo2 relaxed with PBEsol at the SCAN level of DFT. Values from VASP.

Summary:
Total magnetization   0.66 μB/cell
Distance to the lowest polymorph of the same formula   9.6 kJ per mole of atoms
Energy of formation   0.254 eV per atom
VASP energy   -1.914 Ry/atom
Fermi-level density of states   0.840 states/eV/atom
Space-group type   P4mm (99)

Quantum ESPRESSO input file:
```
&SYSTEM
  ibrav = 0, nat = 4, ntyp = 3
/
ATOMIC_SPECIES
Co 58.93 Co.upf
Fe 55.84 Fe.upf
Mo 95.94 Mo.upf
CELL_PARAMETERS angstrom
3.073 0.000 0.000
0.000 3.072 0.000
0.000 0.000 5.427
ATOMIC_POSITIONS crystal
Co 0.000 0.000 0.497
Fe 0.500 0.500 0.746
Mo 0.000 0.000 0.974
Mo 0.500 0.500 0.283
```